1.
# CaTa2Te | Alexandria via LeMat-Bulk | SCAN | single point on PBEsol structure
# E_form (uncorrected) in meV per atom: 361
# Magnetic moment in μB/f.u.: 0.00
data_CaTa2Te
_chemical_formula_sum 'Ca1 Ta2 Te1'
_symmetry_space_group_name_H-M 'P m m m'
_symmetry_Int_Tables_number 47
_cell_length_a 3.786
_cell_length_b 4.388
_cell_length_c 4.951
_cell_angle_alpha 90.00
_cell_angle_beta 90.00
_cell_angle_gamma 90.00
loop_
_symmetry_equiv_pos_as_xyz
'x,y,z'
'-x,-y,-z'
'-x,-y,z'
'x,y,-z'
'x,-y,-z'
'-x,y,z'
'-x,y,-z'
'x,-y,z'
loop_
_atom_site_label
_atom_site_type_symbol
_atom_site_fract_x
_atom_site_fract_y
_atom_site_fract_z
_atom_site_occupancy
Ca1 Ca 0.000 0.000 0.000 1
Ta1 Ta 0.000 0.500 0.500 1
Ta2 Ta 0.500 0.000 0.500 1
Te1 Te 0.500 0.500 0.000 1

---

2.
# Ca3TaTe | Alexandria via LeMat-Bulk | SCAN | single point on PBEsol structure
# E_form (uncorrected) in meV per atom: 536
# Magnetic moment in μB/f.u.: 4.96
data_Ca3TaTe
_chemical_formula_sum 'Ca3 Ta1 Te1'
_symmetry_space_group_name_H-M 'P m -3 m'
_symmetry_Int_Tables_number 221
_symmetry_space_group_name_Hall '-P 4 2 3'
_cell_length_a 5.715
_cell_length_b 5.715
_cell_length_c 5.715
_cell_angle_alpha 90.00
_cell_angle_beta 90.00
_cell_angle_gamma 90.00
loop_
_atom_site_label
_atom_site_type_symbol
_atom_site_fract_x
_atom_site_fract_y
_atom_site_fract_z
_atom_site_occupancy
Ca1 Ca 0.000 0.000 0.500 1
Ta1 Ta 0.500 0.500 0.500 1
Te1 Te 0.000 0.000 0.000 1

---

3.
# CaTaTl | Alexandria via LeMat-Bulk | SCAN | single point on PBEsol structure
# Energy relative to the elements in eV per atom: 1.447
# Magnetic moment in μB/f.u.: 2.65
data_CaTaTl
_chemical_formula_sum 'Ca4 Ta4 Tl4'
_symmetry_space_group_name_H-M 'F -4 3 m'
_symmetry_Int_Tables_number 216
_symmetry_space_group_name_Hall 'F -4 2 3'
_cell_length_a 6.936
_cell_length_b 6.936
_cell_length_c 6.936
_cell_angle_alpha 90.00
_cell_angle_beta 90.00
_cell_angle_gamma 90.00
loop_
_atom_site_label
_atom_site_type_symbol
_atom_site_fract_x
_atom_site_fract_y
_atom_site_fract_z
_atom_site_occupancy
Ca1 Ca 0.000 0.000 0.000 1
Ta1 Ta 0.250 0.250 0.750 1
Tl1 Tl 0.250 0.250 0.250 1

---

4.
# CaTa2W | Alexandria via LeMat-Bulk | SCAN | single point on PBEsol structure
# Energy relative to the elements in eV per atom: 0.673
# Relative energy among the computed polymorphs in meV per atom: 0.0
# Magnetic moment in μB/f.u.: 0.00
data_CaTa2W
_chemical_formula_sum 'Ca2 Ta4 W2'
_symmetry_space_group_name_H-M 'I m m m'
_symmetry_Int_Tables_number 71
_symmetry_space_group_name_Hall '-I 2 2'
_cell_length_a 3.100
_cell_length_b 5.178
_cell_length_c 9.870
_cell_angle_alpha 90.00
_cell_angle_beta 90.00
_cell_angle_gamma 90.00
loop_
_atom_site_label
_atom_site_type_symbol
_atom_site_fract_x
_atom_site_fract_y
_atom_site_fract_z
_atom_site_occupancy
Ca1 Ca 0.000 0.000 0.000 1
Ta1 Ta 0.000 0.500 0.217 1
W1 W 0.000 0.000 0.500 1